1.
Below is CuHgP2 at its PBEsol-relaxed geometry, with properties calculated at the meta-GGA SCAN level.

a = 2.6676 Å, b = 2.6676 Å, c = 9.6417 Å
α = 90.00°, β = 90.00°, γ = 90.00°
Last column: nearest neighbours and their distance in Å.
Space group P4/mmm (No. 123)
Inequivalent atoms, fractional coordinates:
Cu1 0.0000 0.0000 0.0000 [1 per cell]  8 P 2.59, 4 Cu 2.67
Hg1 0.0000 0.0000 0.5000 [1 per cell]  4 Hg 2.67
P1 0.5000 0.5000 0.1839 [2 per cell]  4 Cu 2.59, 4 P 2.67

Computed properties:
As for the total moment: 0.00 μB per cell. Its crystal system is tetragonal. The density of states at the Fermi level comes out at 1.84 states/eV/f.u. The formation energy is 0.4377 eV/atom. For the total DFT energy (no corrections), the calculation gives -102.41 eV/cell.


2.
Below is CuHgP2 at its PBEsol-relaxed geometry, with properties calculated at the meta-GGA SCAN level.

a = 2.6273 Å, b = 4.9168 Å, c = 9.9755 Å
α = 90.00°, β = 90.00°, γ = 90.00°
Last column: nearest neighbours and their distance in Å.
Space group Immm (No. 71)
Inequivalent atoms, fractional coordinates:
Cu1 0.0000 0.0000 0.0000 [2 per cell]  4 P 2.46, 2 Cu 2.63
Hg1 0.0000 0.0000 0.5000 [2 per cell]  2 Hg 2.63, 4 Cu 2.79
P1 0.0000 0.5000 0.2913 [4 per cell]  2 Cu 2.46, 2 P 2.63

Computed properties:
As for the total moment: 0.00 μB per cell. Its crystal system is orthorhombic. The density of states at the Fermi level comes out at 1.32 states/eV/f.u. The formation energy is 0.4952 eV/atom. For the total DFT energy (no corrections), the calculation gives -204.36 eV/cell.


Q: Which of these has the lowest total DFT energy (no corrections)?
A: number 2


Q: Look up the formation energy of the first one.
A: 0.4377 eV/atom


Copy entry 1 word for word.
Below is CuHgP2 at its PBEsol-relaxed geometry, with properties calculated at the meta-GGA SCAN level.

a = 2.6676 Å, b = 2.6676 Å, c = 9.6417 Å
α = 90.00°, β = 90.00°, γ = 90.00°
Last column: nearest neighbours and their distance in Å.
Space group P4/mmm (No. 123)
Inequivalent atoms, fractional coordinates:
Cu1 0.0000 0.0000 0.0000 [1 per cell]  8 P 2.59, 4 Cu 2.67
Hg1 0.0000 0.0000 0.5000 [1 per cell]  4 Hg 2.67
P1 0.5000 0.5000 0.1839 [2 per cell]  4 Cu 2.59, 4 P 2.67

Computed properties:
As for the total moment: 0.00 μB per cell. Its crystal system is tetragonal. The density of states at the Fermi level comes out at 1.84 states/eV/f.u. The formation energy is 0.4377 eV/atom. For the total DFT energy (no corrections), the calculation gives -102.41 eV/cell.